{"formula": "AcEr2Rh9", "functional": "PBE-GGA", "state": "relaxed", "crystal_system": "trigonal", "delta_e_f_ev_per_atom": -0.553, "sg": "No. 166", "n_ef_per_ev_atom": 1.233, "lattice_angstrom": [[-1.9612, 4.6267, 1.7394], [-4.8035, 1.6226, -1.6036], [-5.9247, -2.0377, 6.8685]], "species": ["Rh", "Rh", "Rh", "Rh", "Rh", "Rh", "Rh", "Rh", "Rh", "Er", "Er", "Ac"], "frac_coords": [[0.4146, 0.4146, 0.2541], [0.0833, 0.5854, 0.7459], [0.5854, 0.5854, 0.7459], [0.5854, 0.0833, 0.7459], [0.3332, 0.3332, 0.0004], [0.5000, 0.5000, 0.5000], [0.6668, 0.6668, 0.9996], [0.4146, 0.9167, 0.2541], [0.9167, 0.4146, 0.2541], [0.8595, 0.8595, 0.4214], [0.1405, 0.1405, 0.5786], [0.0000, 0.0000, 0.0000]]}